No. 1
A geometry-optimized ZnRe2P structure. Source: the Alexandria database, functional PBE-GGA.

Unit cell a=4.7208 b=4.7208 c=4.7208 alpha=132.48 beta=132.48 gamma=69.47
With the nearest neighbours (Å) after each atom.
Element x y z (fractional)
Zn 0.5000 0.5000 0.0000  8 Re 2.69-2.72, 4 P 2.72
Re 0.0000 0.0000 0.0000  4 Zn 2.69, 4 P 2.72, 4 Re 2.72
Re 0.2500 0.7500 0.5000  4 P 2.69, 4 Re 2.72, 4 Zn 2.72
P 0.7500 0.2500 0.5000  8 Re 2.69-2.72, 4 Zn 2.72

Output
Size of the total moment = 0.00 μB/f.u.
VASP energy = -7.504 eV/atom
V = 56.1 Å³/cell
Space-group type = I-4m2
E_form = 391.4 meV/atom

No. 2
A geometry-optimized ZnRe2P structure. Source: the Alexandria database, functional PBE-GGA.

Unit cell a=4.3516 b=4.3516 c=4.3516 alpha=60.00 beta=60.00 gamma=60.00
With the nearest neighbours (Å) after each atom.
Element x y z (fractional)
Zn 0.2500 0.2500 0.2500  4 Re 2.66, 4 P 2.66
Re 0.0000 0.0000 0.0000  4 Re 2.66, 4 Zn 2.66
Re 0.7500 0.7500 0.7500  4 Re 2.66, 4 P 2.66
P 0.5000 0.5000 0.5000  4 Re 2.66, 4 Zn 2.66

Output
Size of the total moment = 0.00 μB/f.u.
VASP energy = -7.466 eV/atom
V = 58.3 Å³/cell
Space-group type = F-43m
E_form = 429.5 meV/atom

No. 3
A geometry-optimized ZnRe2P structure. Source: the Alexandria database, functional PBE-GGA.

Unit cell a=3.7122 b=2.9053 c=5.4084 alpha=78.10 beta=90.00 gamma=90.00
With the nearest neighbours (Å) after each atom.
Element x y z (fractional)
Zn 0.5000 0.5000 0.0000  8 Re 2.69-2.83, 2 P 2.70, 2 Zn 2.91
Re 0.0000 0.1505 0.7290  2 P 2.34
Re 0.0000 0.8495 0.2710  2 P 2.34
P 0.5000 0.5000 0.5000  4 Re 2.34

Output
Size of the total moment = 0.00 μB/f.u.
VASP energy = -7.688 eV/atom
V = 57.1 Å³/cell
Space-group type = P2/m
E_form = 206.7 meV/atom